CoNi2 | meta-GGA SCAN | single point on PBEsol structure

Calculated volume, Å³/atom: 12.54
Size of the total moment, μB per cell: 3.5
Energy relative to the elements, eV per atom: 0.473

a = 3.8947 Å, b = 3.8947 Å, c = 2.4805 Å
α = 90.00°, β = 90.00°, γ = 90.00°
Space group P4/mmm (No. 123)
Asymmetric unit:
Co1 0.0000 0.0000 0.0000 [1 per cell]
Ni1 0.0000 0.5000 0.5000 [2 per cell]

Co2Ni | meta-GGA SCAN | single point on PBEsol structure

Calculated volume, Å³/atom: 10.35
Size of the total moment, μB per cell: 8.7
Energy relative to the elements, eV per atom: 0.028

a = 2.4252 Å, b = 3.4973 Å, c = 7.3194 Å
α = 90.00°, β = 90.00°, γ = 90.00°
Space group Immm (No. 71)
Asymmetric unit:
Co1 0.0000 0.0000 0.1678 [4 per cell]
Ni1 0.0000 0.0000 0.5000 [2 per cell]

CoNi3 | meta-GGA SCAN | single point on PBEsol structure

Calculated volume, Å³/atom: 10.36
Size of the total moment, μB per cell: 12.0
Energy relative to the elements, eV per atom: 0.008

a = 2.4448 Å, b = 2.4448 Å, c = 24.0090 Å
α = 90.00°, β = 90.00°, γ = 120.00°
Space group R-3m (No. 166, hexagonal axes)
Asymmetric unit:
Co1 0.0000 0.0000 0.0000 [3 per cell]
Ni1 0.0000 0.0000 0.2506 [6 per cell]
Ni2 0.0000 0.0000 0.5000 [3 per cell]

CoNi2 | meta-GGA SCAN | single point on PBEsol structure

Calculated volume, Å³/atom: 10.35
Size of the total moment, μB per cell: 13.3
Energy relative to the elements, eV per atom: 0.003

a = 3.4836 Å, b = 10.3458 Å, c = 3.4471 Å
α = 90.00°, β = 90.00°, γ = 90.00°
Space group Cmcm (No. 63)
Asymmetric unit:
Co1 0.0000 0.0822 0.2500 [4 per cell]
Ni1 0.0000 0.2514 0.7500 [4 per cell]
Ni2 0.0000 0.4186 0.2500 [4 per cell]

Co2NiO6 | meta-GGA SCAN | single point on PBEsol structure

Uncorrected formation energy, eV/atom: -1.017
Calculated volume, Å³/atom: 10.17
Size of the total moment, μB per cell: 8.0
Distance to the lowest polymorph of the same formula, meV per atom: 17

a = 8.3754 Å, b = 4.8255 Å, c = 9.0596 Å
α = 90.00°, β = 90.00°, γ = 90.00°
Space group Cmce (No. 64)
Asymmetric unit:
Co1 0.1667 0.0000 0.0000 [8 per cell]
Ni1 0.0000 0.0000 0.5000 [4 per cell]
O1 0.0000 0.1635 0.1020 [8 per cell]
O2 0.1682 0.1681 0.3980 [16 per cell]

CoNi2O4 | meta-GGA SCAN | single point on PBEsol structure

Uncorrected formation energy, eV/atom: -1.317
Calculated volume, Å³/atom: 9.26
Size of the total moment, μB per cell: 8.0

a = 8.0332 Å, b = 8.0332 Å, c = 8.0332 Å
α = 90.00°, β = 90.00°, γ = 90.00°
Space group Fd-3m (No. 227, origin choice 2)
Asymmetric unit:
Co1 0.1250 0.1250 0.1250 [8 per cell]
Ni1 0.0000 0.0000 0.5000 [16 per cell]
O1 0.0081 0.0081 0.7419 [32 per cell]

Co5NiO12 | meta-GGA SCAN | single point on PBEsol structure

Uncorrected formation energy, eV/atom: -1.031
Calculated volume, Å³/atom: 10.15
Size of the total moment, μB per cell: 10.0

a = 4.8231 Å, b = 8.3675 Å, c = 9.0563 Å
α = 90.00°, β = 90.15°, γ = 90.00°
Space group C2/m (No. 12)
Asymmetric unit:
Co1 0.0000 0.0000 0.0000 [2 per cell]
Co2 0.0000 0.1667 0.5000 [4 per cell]
Co3 0.0000 0.3333 0.0000 [4 per cell]
Ni1 0.0000 0.5000 0.5000 [2 per cell]
O1 0.1641 0.0000 0.6022 [4 per cell]
O2 0.1661 0.1667 0.8986 [8 per cell]
O3 0.1660 0.5000 0.8987 [4 per cell]
O4 0.1686 0.3318 0.6022 [8 per cell]

Co2NiO6 | meta-GGA SCAN | single point on PBEsol structure

Uncorrected formation energy, eV/atom: -1.034
Calculated volume, Å³/atom: 10.11
Size of the total moment, μB per cell: 4.0
Distance to the lowest polymorph of the same formula, meV per atom: 0

a = 12.1177 Å, b = 2.7895 Å, c = 5.5183 Å
α = 90.00°, β = 102.80°, γ = 90.00°
Space group C2/m (No. 12)
Asymmetric unit:
Co1 0.1668 0.0000 0.3340 [4 per cell]
Ni1 0.0000 0.5000 0.0000 [2 per cell]
O1 0.0108 0.0000 0.2277 [4 per cell]
O2 0.1570 0.5000 0.1091 [4 per cell]
O3 0.1770 0.5000 0.5589 [4 per cell]

Co2NiOsO | meta-GGA SCAN | single point on PBEsol structure

Uncorrected formation energy, eV/atom: 0.912
Calculated volume, Å³/atom: 12.64
Size of the total moment, μB per cell: 6.4

a = 4.4192 Å, b = 4.4192 Å, c = 3.2369 Å
α = 90.00°, β = 90.00°, γ = 90.00°
Space group P4/mmm (No. 123)
Asymmetric unit:
Co1 0.0000 0.5000 0.0000 [2 per cell]
Ni1 0.0000 0.0000 0.0000 [1 per cell]
Os1 0.5000 0.5000 0.5000 [1 per cell]
O1 0.0000 0.0000 0.5000 [1 per cell]

CoNiP4O12 | meta-GGA SCAN | single point on PBEsol structure

Uncorrected formation energy, eV/atom: -2.190
Calculated volume, Å³/atom: 11.52
Size of the total moment, μB per cell: 20.0

a = 11.6537 Å, b = 8.1962 Å, c = 9.8606 Å
α = 90.00°, β = 118.26°, γ = 90.00°
Space group C2/c (No. 15)
Asymmetric unit:
Co1 0.0000 0.0587 0.2500 [4 per cell]
Ni1 0.2500 0.2500 0.5000 [4 per cell]
P1 0.0097 0.2599 0.9774 [8 per cell]
P2 0.1972 0.4912 0.1983 [8 per cell]
O1 0.0308 0.1152 0.9032 [8 per cell]
O2 0.0507 0.2415 0.4157 [8 per cell]
O3 0.0728 0.3938 0.6507 [8 per cell]
O4 0.1470 0.3502 0.0696 [8 per cell]
O5 0.2014 0.0859 0.3246 [8 per cell]
O6 0.2356 0.4259 0.3536 [8 per cell]

CoNiPO2 | meta-GGA SCAN | single point on PBEsol structure

Uncorrected formation energy, eV/atom: -0.152
Calculated volume, Å³/atom: 11.78
Size of the total moment, μB per cell: 0.5

a = 3.4201 Å, b = 3.4201 Å, c = 5.0342 Å
α = 90.00°, β = 90.00°, γ = 90.00°
Space group P4/mmm (No. 123)
Asymmetric unit:
Co1 0.0000 0.0000 0.0000 [1 per cell]
Ni1 0.5000 0.5000 0.5000 [1 per cell]
P1 0.0000 0.0000 0.5000 [1 per cell]
O1 0.0000 0.5000 0.0000 [2 per cell]

CoNi2P2O8 | meta-GGA SCAN | single point on PBEsol structure

Uncorrected formation energy, eV/atom: -1.986
Calculated volume, Å³/atom: 10.50
Size of the total moment, μB per cell: 14.0

a = 5.7936 Å, b = 4.6671 Å, c = 10.0967 Å
α = 90.00°, β = 91.07°, γ = 90.00°
Space group P2_1 (No. 4)
Asymmetric unit:
Co1 0.2390 0.0000 0.0253 [2 per cell]
Ni1 0.2450 0.5246 0.5237 [2 per cell]
Ni2 0.4985 0.5125 0.2512 [2 per cell]
P1 0.2505 0.0880 0.3469 [2 per cell]
P2 0.2561 0.4390 0.8441 [2 per cell]
O1 0.0489 0.2120 0.4263 [2 per cell]
O2 0.0561 0.3184 0.9279 [2 per cell]
O3 0.2542 0.3202 0.7010 [2 per cell]
O4 0.2546 0.2029 0.2030 [2 per cell]
O5 0.2670 0.7598 0.3525 [2 per cell]
O6 0.2699 0.7666 0.8504 [2 per cell]
O7 0.4692 0.2473 0.4137 [2 per cell]
O8 0.4737 0.2820 0.9109 [2 per cell]